## Ru2PbF11 (PBE)

Data for an optimized crystal structure of Ru2PbF11.

```
Ru2PbF11
1.0
-4.5708 4.5919 5.4032
4.5708 -4.5919 5.4032
4.5708 4.5919 -5.4032
Ru Pb F
4 2 22
Direct
0.1572 0.1561 0.3133
0.3428 0.6561 0.9989
0.6572 0.3439 0.0011
0.8428 0.8439 0.6867
0.2500 0.7500 0.5000
0.7500 0.2500 0.5000
0.0000 0.0000 0.0000
0.0711 0.8624 0.6813
0.1104 0.4267 0.7894
0.1372 0.9267 0.3163
0.1811 0.3898 0.3187
0.1992 0.7985 0.9978
0.3008 0.2985 0.5993
0.3189 0.6376 0.2087
0.3628 0.6790 0.7894
0.3896 0.1790 0.3163
0.4289 0.1102 0.7913
0.5000 0.5000 0.0000
0.5711 0.8898 0.2087
0.6104 0.8210 0.6837
0.6372 0.3210 0.2106
0.6811 0.3624 0.7913
0.6992 0.7015 0.4007
0.8008 0.2015 0.0022
0.8189 0.6102 0.6813
0.8628 0.0733 0.6837
0.8896 0.5733 0.2106
0.9289 0.1376 0.3187
```

Summary:
- ρ: 4.527 g/cm3
- Total DFT energy (no corrections): -0.18080 hartree per atom